1.
# CaZrGa2As

An optimized crystal structure of CaZrGa2As (GGA-PBE, Alexandria via LeMat-Bulk).

Lattice parameters (Å, degrees): 5.205 5.205 5.151 90.00 90.00 90.00
Space group P4/mmm (No. 123)
One atom of each set of equivalent atoms:
Ca 0.000 0.000 0.000 (multiplicity 1)
Zr 0.500 0.500 0.500 (multiplicity 1)
Ga 0.000 0.500 0.500 (multiplicity 2)
As 0.500 0.500 0.000 (multiplicity 1)

Summary:
Its total energy is -22.1 eV per cell. The calculated formation energy is -0.1730 eV per atom. As for the crystal system: tetragonal. For the total magnetization, the calculation gives 0.00 μB/f.u. The calculation puts the volume at 140 Å³/cell.

---

2.
# GaNiAg3

An optimized crystal structure of GaNiAg3 (GGA-PBE, Alexandria via LeMat-Bulk).

Lattice parameters (Å, degrees): 4.786 4.786 4.786 90.00 90.00 90.00
Space group Pm-3m (No. 221)
One atom of each set of equivalent atoms:
Ga 0.000 0.000 0.000 (multiplicity 1)
Ni 0.500 0.500 0.500 (multiplicity 1)
Ag 0.000 0.000 0.500 (multiplicity 3)

Summary:
Its total energy is -13.0 eV per cell. The calculated formation energy is 0.8668 eV per atom. As for the crystal system: cubic. For the total magnetization, the calculation gives 0.00 μB/f.u. The calculation puts the volume at 110 Å³/cell. Its energy above the most stable polymorph in this dataset is 0.82 eV/f.u.

---

3.
# GaNiSe3

An optimized crystal structure of GaNiSe3 (GGA-PBE, Alexandria via LeMat-Bulk).

Lattice parameters (Å, degrees): 4.776 4.776 4.776 90.00 90.00 90.00
Space group Pm-3m (No. 221)
One atom of each set of equivalent atoms:
Ga 0.000 0.000 0.000 (multiplicity 1)
Ni 0.500 0.500 0.500 (multiplicity 1)
Se 0.000 0.500 0.500 (multiplicity 3)

Summary:
Its total energy is -18.2 eV per cell. As for the crystal system: cubic. The calculation puts the uncorrected formation energy at 1.03 eV per formula unit. For the total magnetization, the calculation gives 0.00 μB/f.u. The calculation puts the volume at 109 Å³/cell. Its energy above the most stable polymorph in this dataset is 2.65 eV/f.u.

---

4.
# VCdTc3

An optimized crystal structure of VCdTc3 (GGA-PBE, Alexandria via LeMat-Bulk).

Lattice parameters (Å, degrees): 4.514 4.514 4.514 90.00 90.00 90.00
Space group Pm-3m (No. 221)
One atom of each set of equivalent atoms:
V 0.000 0.000 0.000 (multiplicity 1)
Cd 0.500 0.500 0.500 (multiplicity 1)
Tc 0.000 0.000 0.500 (multiplicity 3)

Summary:
Its total energy is -35.6 eV per cell. The calculated formation energy is 1.1067 eV per atom. As for the crystal system: cubic. For the total magnetization, the calculation gives 2.21 μB/f.u. The calculation puts the volume at 92 Å³/cell. Its energy above the most stable polymorph in this dataset is 0.00 eV/f.u.

---

Short version: Fermi-level density of states = 0.50; 0.43; 1.04; 0.91 states/eV per atom, in the order given.